The following is a DFT calculation (PBE-GGA) of crystalline Pm2Si2HgRh5 at its relaxed geometry.

Calculated values
The energy is -6.55 eV/atom. As for the raw formation energy: -0.8113 eV per atom. As for the space group: No. 127.

POSCAR file:
```
Pm2Si2HgRh5
1.0
-1.2235 -3.0065 -1.4038
8.6514 -4.4702 2.0333
-3.5030 -2.7308 8.9014
Rh Hg Si Pm
10 2 4 4
direct
0.5000 0.2800 0.5687
0.5000 0.2200 0.0687
0.5000 0.7800 0.9313
0.5000 0.7200 0.4313
0.5000 0.0687 0.7800
0.5000 0.4313 0.2800
0.5000 0.5687 0.7200
0.5000 0.0000 0.5000
0.5000 0.5000 0.0000
0.5000 0.9313 0.2200
0.0000 0.5000 0.5000
0.0000 0.0000 0.0000
0.0000 0.6218 0.8782
0.0000 0.1218 0.6218
0.0000 0.8782 0.3782
0.0000 0.3782 0.1218
0.0000 0.1763 0.3237
0.0000 0.8237 0.6763
0.0000 0.6763 0.1763
0.0000 0.3237 0.8237
```

The following is a DFT calculation (PBE-GGA) of crystalline SmDyPtI at its relaxed geometry.

Calculated values
The energy is -5.34 eV/atom. As for the raw formation energy: -1.1143 eV per atom. As for the space group: No. 160.

POSCAR file:
```
SmDyPtI
1.0
4.1883 -0.0004 -0.0005
-2.0935 3.6268 0.0000
-2.0944 -1.2087 8.0053
Dy Pt Sm I
1 1 1 1
direct
0.0919 0.9438 0.0509
0.3074 0.5516 0.8742
0.5146 0.1552 0.6850
0.9641 0.3802 0.3595
```

The following is a DFT calculation (PBE-GGA) of crystalline TmTl3 at its relaxed geometry.

Calculated values
The energy is -3.01 eV/atom. As for the space group: No. 139.

POSCAR file:
```
TmTl3
1.0
-2.4190 2.5019 -3.0609
-3.7804 -0.4141 2.6491
4.3618 3.1897 2.6689
Tl Tm
3 1
direct
0.2500 0.7500 0.5000
0.5000 0.5000 0.0000
0.7500 0.2500 0.5000
0.0000 0.0000 0.0000
```

The following is a DFT calculation (PBE-GGA) of crystalline Cs2RhF6 at its relaxed geometry.

Calculated values
The energy is -4.48 eV/atom. As for the raw formation energy: -2.2270 eV per atom. As for the space group: No. 164.

POSCAR file:
```
Cs2RhF6
1.0
5.1305 0.0000 0.0000
0.0000 6.3130 0.0000
0.0000 3.1565 5.4672
F Cs Rh
6 2 1
direct
0.2124 0.8511 0.2979
0.7876 0.1489 0.1489
0.2124 0.8511 0.8511
0.7876 0.7021 0.1489
0.7876 0.1489 0.7021
0.2124 0.2979 0.8511
0.2925 0.3333 0.3333
0.7075 0.6667 0.6667
0.0000 0.0000 0.0000
```